A plane-wave DFT calculation with GGA+U was carried out for a geometry-optimized Mn7AgO12 structure.

a = 6.474 Å, b = 6.474 Å, c = 6.474 Å
α = 109.47°, β = 109.47°, γ = 109.47°
Atoms (fractional coordinates):
O 0.130 0.315 0.815
O 0.185 0.500 0.315
O 0.685 0.815 0.500
O 0.185 0.870 0.685
O 0.685 0.185 0.870
O 0.500 0.685 0.815
O 0.315 0.815 0.130
O 0.870 0.685 0.185
O 0.815 0.130 0.315
O 0.815 0.500 0.685
O 0.500 0.315 0.185
O 0.315 0.185 0.500
Mn 0.500 0.000 0.000
Mn 0.500 0.500 0.500
Mn 0.000 0.500 0.000
Mn 0.500 0.000 0.500
Mn 0.000 0.000 0.500
Mn 0.500 0.500 0.000
Mn 0.000 0.500 0.500
Ag 0.000 0.000 0.000

Summary:
Volume = 208.9 Å³/cell
Total DFT energy (no corrections) = -7.10 eV/atom
Space-group type = Im-3, No. 204